Entry from Alexandria via LeMat-Bulk: an optimized crystal structure of CaZnCd2 (PBE).

Uncorrected energy   -6.0 eV per cell
E_form   -0.212 eV per atom
Size of the total moment   0.0 μB per cell
Calculated volume   89.2 Å³/cell

```
4
Lattice="-2.086 -2.574 3.760 -4.094 -2.764 -0.843 0.284 -5.016 0.084" Properties=species:S:1:pos:R:3 pbc="T T T"
Zn -2.948 -5.178 1.501
Ca -4.422 -7.766 2.251
Cd -5.895 -10.353 3.001
Cd -1.475 -2.589 0.751
```